# Pr3Be2O6

A relaxed Pr3Be2O6 crystal (PBE, Alexandria).

Its space-group type is I4/mmm. The calculation puts the calculated total energy at -82.45 eV/cell. The calculation puts the uncorrected formation energy at -2810 meV per atom.

abc: 3.6749 3.6749 10.1147
angles: 100.47 100.47 90.00
Element x y z (fractional)
O (0.6972, 0.6972, 0.3943)
O (0.0920, 0.5920, 0.1839)
Pr (0.1755, 0.1755, 0.3510)
O (0.5920, 0.0920, 0.1839)
O (0.3028, 0.3028, 0.6057)
O (0.4080, 0.9080, 0.8161)
Be (0.3956, 0.3956, 0.7911)
O (0.9080, 0.4080, 0.8161)
Be (0.6044, 0.6044, 0.2089)
Pr (0.8245, 0.8245, 0.6490)
Pr (0.0000, 0.0000, 0.0000)